# 1
Here is a geometry-optimized PrCuNi structure from the Open Quantum Materials Database. Energies are from PBE-GGA.

It has space group F-43m (No. 216), with a = 6.582 Å, b = 6.582 Å, c = 6.582 Å, α = 90.00°, β = 90.00° and γ = 90.00°. The inequivalent atoms are Pr at (0.000, 0.000, 0.000), Cu at (0.250, 0.250, 0.750) and Ni at (0.250, 0.250, 0.250).

Its energy relative to the elements is 454 meV/atom. As for the total energy: -4.232 eV/atom.

# 2
Here is a geometry-optimized PrCuSi2Ni structure from the Open Quantum Materials Database. Energies are from PBE-GGA.

It has space group I-4m2 (No. 119), with a = 4.090 Å, b = 4.090 Å, c = 9.767 Å, α = 90.00°, β = 90.00° and γ = 90.00°. The inequivalent atoms are Pr at (0.000, 0.000, 0.000), Cu at (0.000, 0.500, 0.250), Si at (0.000, 0.000, 0.374) and Ni at (0.000, 0.500, 0.750).

As for the total energy: -5.666 eV/atom.

# 3
Here is a geometry-optimized Pr3Cu2Si4Ni2 structure from the Open Quantum Materials Database. Energies are from PBE-GGA.

It has space group Immm (No. 71), with a = 4.120 Å, b = 4.151 Å, c = 23.534 Å, α = 90.00°, β = 90.00° and γ = 90.00°. The inequivalent atoms are Pr at (0.000, 0.000, 0.000), Pr at (0.000, 0.500, 0.349), Cu at (0.000, 0.500, 0.099), Si at (0.000, 0.000, 0.449), Si at (0.000, 0.500, 0.202) and Ni at (0.000, 0.000, 0.249).

As for the total energy: -5.654 eV/atom.

# 4
Here is a geometry-optimized PrCuNiSn2 structure from the Open Quantum Materials Database. Energies are from PBE-GGA.

It has space group P4/nmm (No. 129, origin choice 2), with a = 4.475 Å, b = 4.475 Å, c = 10.428 Å, α = 90.00°, β = 90.00° and γ = 90.00°. The inequivalent atoms are Pr at (0.250, 0.250, 0.235), Cu at (0.250, 0.250, 0.640), Ni at (0.250, 0.750, 0.000), Sn at (0.250, 0.250, 0.882) and Sn at (0.250, 0.750, 0.500).

As for the distance to the lowest polymorph of the same formula: 40 meV/atom. As for the total energy: -4.884 eV/atom.

# 5
Here is a geometry-optimized PrCuNiSn2 structure from the Open Quantum Materials Database. Energies are from PBE-GGA.

It has space group P4/nmm (No. 129, origin choice 2), with a = 4.459 Å, b = 4.459 Å, c = 10.409 Å, α = 90.00°, β = 90.00° and γ = 90.00°. The inequivalent atoms are Pr at (0.250, 0.250, 0.246), Cu at (0.250, 0.750, 0.000), Ni at (0.250, 0.250, 0.624), Sn at (0.250, 0.250, 0.865) and Sn at (0.250, 0.750, 0.500).

As for the distance to the lowest polymorph of the same formula: 0 meV/atom. As for the total energy: -4.924 eV/atom.

# 6
Here is a geometry-optimized Cu2NiPt structure from the Open Quantum Materials Database. Energies are from PBE-GGA.

It has space group Pmmn (No. 59, origin choice 2), with a = 4.279 Å, b = 5.223 Å, c = 4.511 Å, α = 90.00°, β = 90.00° and γ = 90.00°. The inequivalent atoms are Cu at (0.250, 0.002, 0.159), Ni at (0.250, 0.250, 0.665) and Pt at (0.250, 0.750, 0.659).

Its energy relative to the elements is -61 meV/atom. As for the total energy: -4.825 eV/atom.

# 7
Here is a geometry-optimized Tm3Zn3CuNiPt structure from the Open Quantum Materials Database. Energies are from PBE-GGA.

It has space group P-6 (No. 174), with a = 7.1274 Å, b = 7.1274 Å, c = 3.7074 Å, α = 90.00°, β = 90.00° and γ = 120.00°. The inequivalent atoms are Tm at (0.0827, 0.3408, 0.0000), Zn at (0.4228, 0.3401, 0.5000), Cu at (0.6667, 0.3333, 0.0000), Ni at (0.3333, 0.6667, 0.5000) and Pt at (0.0000, 0.0000, 0.5000).

Its energy relative to the elements is -624 meV/atom. As for the total energy: -4.242 eV/atom.

# 8
Here is a geometry-optimized PuCuNi structure from the Open Quantum Materials Database. Energies are from PBE-GGA.

It has space group F-43m (No. 216), with a = 6.140 Å, b = 6.140 Å, c = 6.140 Å, α = 90.00°, β = 90.00° and γ = 90.00°. The inequivalent atoms are Pu at (0.000, 0.000, 0.000), Cu at (0.250, 0.250, 0.750) and Ni at (0.000, 0.000, 0.500).

Its energy relative to the elements is 290 meV/atom. As for the distance to the lowest polymorph of the same formula: 0 meV/atom. As for the total energy: -7.513 eV/atom.

# 9
Here is a geometry-optimized RbCuNiSe2S structure from the Open Quantum Materials Database. Energies are from PBE-GGA.

It has space group Cmcm (No. 63), with a = 3.661 Å, b = 14.777 Å, c = 10.011 Å, α = 90.00°, β = 90.00° and γ = 90.00°. The inequivalent atoms are Rb at (0.000, 0.244, 0.250), Cu at (0.000, 0.039, 0.750), Ni at (0.000, 0.500, 0.000), Se at (0.000, 0.106, 0.533) and S at (0.000, 0.451, 0.750).

As for the total energy: -3.950 eV/atom.

# 10
Here is a geometry-optimized RbCuNiTeSe2 structure from the Open Quantum Materials Database. Energies are from PBE-GGA.

It has space group Cmcm (No. 63), with a = 3.657 Å, b = 16.057 Å, c = 10.234 Å, α = 90.00°, β = 90.00° and γ = 90.00°. The inequivalent atoms are Rb at (0.000, 0.238, 0.250), Cu at (0.000, 0.450, 0.750), Ni at (0.000, 0.000, 0.000), Te at (0.000, 0.063, 0.750) and Se at (0.000, 0.400, 0.532).

As for the total energy: -3.759 eV/atom.

# 11
Here is a geometry-optimized RbCuNiTe3 structure from the Open Quantum Materials Database. Energies are from PBE-GGA.

It has space group Cmcm (No. 63), with a = 3.889 Å, b = 15.996 Å, c = 10.703 Å, α = 90.00°, β = 90.00° and γ = 90.00°. The inequivalent atoms are Rb at (0.000, 0.241, 0.250), Cu at (0.000, 0.453, 0.750), Ni at (0.000, 0.000, 0.000), Te at (0.000, 0.058, 0.750) and Te at (0.000, 0.393, 0.527).

As for the total energy: -3.573 eV/atom.

# 12
Here is a geometry-optimized RbCuNiW structure from the Open Quantum Materials Database. Energies are from PBE-GGA.

It has space group F-43m (No. 216), with a = 6.441 Å, b = 6.441 Å, c = 6.441 Å, α = 90.00°, β = 90.00° and γ = 90.00°. The inequivalent atoms are Rb at (0.000, 0.000, 0.000), Cu at (0.000, 0.000, 0.500), Ni at (0.250, 0.250, 0.750) and W at (0.250, 0.250, 0.250).

As for the distance to the lowest polymorph of the same formula: 211 meV/atom. As for the total energy: -3.896 eV/atom.

# 13
Here is a geometry-optimized RbCuNiW structure from the Open Quantum Materials Database. Energies are from PBE-GGA.

It has space group F-43m (No. 216), with a = 6.696 Å, b = 6.696 Å, c = 6.696 Å, α = 90.00°, β = 90.00° and γ = 90.00°. The inequivalent atoms are Rb at (0.000, 0.000, 0.000), Cu at (0.250, 0.250, 0.750), Ni at (0.250, 0.250, 0.250) and W at (0.000, 0.000, 0.500).

As for the distance to the lowest polymorph of the same formula: 0 meV/atom. As for the total energy: -4.108 eV/atom.

# 14
Here is a geometry-optimized RbCuNiW structure from the Open Quantum Materials Database. Energies are from PBE-GGA.

It has space group F-43m (No. 216), with a = 6.475 Å, b = 6.475 Å, c = 6.475 Å, α = 90.00°, β = 90.00° and γ = 90.00°. The inequivalent atoms are Rb at (0.000, 0.000, 0.000), Cu at (0.250, 0.250, 0.750), Ni at (0.000, 0.000, 0.500) and W at (0.250, 0.250, 0.250).

As for the distance to the lowest polymorph of the same formula: 45 meV/atom. As for the total energy: -4.062 eV/atom.

# 15
Here is a geometry-optimized Cu2ReNi structure from the Open Quantum Materials Database. Energies are from PBE-GGA.

It has space group F-43m (No. 216), with a = 5.809 Å, b = 5.809 Å, c = 5.809 Å, α = 90.00°, β = 90.00° and γ = 90.00°. The inequivalent atoms are Cu at (0.000, 0.000, 0.000), Cu at (0.250, 0.250, 0.250), Re at (0.250, 0.250, 0.750) and Ni at (0.000, 0.000, 0.500).

Its energy relative to the elements is 372 meV/atom. As for the total energy: -5.984 eV/atom.

# 16
Here is a geometry-optimized CuReNiSb structure from the Open Quantum Materials Database. Energies are from PBE-GGA.

It has space group F-43m (No. 216), with a = 6.147 Å, b = 6.147 Å, c = 6.147 Å, α = 90.00°, β = 90.00° and γ = 90.00°. The inequivalent atoms are Cu at (0.000, 0.000, 0.000), Re at (0.250, 0.250, 0.250), Ni at (0.000, 0.000, 0.500) and Sb at (0.250, 0.250, 0.750).

As for the distance to the lowest polymorph of the same formula: 219 meV/atom. As for the total energy: -5.835 eV/atom.

# 17
Here is a geometry-optimized CuReNiSb structure from the Open Quantum Materials Database. Energies are from PBE-GGA.

It has space group F-43m (No. 216), with a = 6.196 Å, b = 6.196 Å, c = 6.196 Å, α = 90.00°, β = 90.00° and γ = 90.00°. The inequivalent atoms are Cu at (0.000, 0.000, 0.000), Re at (0.000, 0.000, 0.500), Ni at (0.250, 0.250, 0.250) and Sb at (0.250, 0.250, 0.750).

As for the distance to the lowest polymorph of the same formula: 0 meV/atom. As for the total energy: -6.053 eV/atom.

# 18
Here is a geometry-optimized CuReSiNi structure from the Open Quantum Materials Database. Energies are from PBE-GGA.

It has space group F-43m (No. 216), with a = 5.837 Å, b = 5.837 Å, c = 5.837 Å, α = 90.00°, β = 90.00° and γ = 90.00°. The inequivalent atoms are Cu at (0.000, 0.000, 0.000), Re at (0.250, 0.250, 0.250), Si at (0.250, 0.250, 0.750) and Ni at (0.000, 0.000, 0.500).

As for the distance to the lowest polymorph of the same formula: 289 meV/atom. As for the total energy: -6.445 eV/atom.

# 19
Here is a geometry-optimized CuReSiNi structure from the Open Quantum Materials Database. Energies are from PBE-GGA.

It has space group F-43m (No. 216), with a = 5.841 Å, b = 5.841 Å, c = 5.841 Å, α = 90.00°, β = 90.00° and γ = 90.00°. The inequivalent atoms are Cu at (0.000, 0.000, 0.000), Re at (0.000, 0.000, 0.500), Si at (0.250, 0.250, 0.750) and Ni at (0.250, 0.250, 0.250).

As for the distance to the lowest polymorph of the same formula: 0 meV/atom. As for the total energy: -6.734 eV/atom.

# 20
Here is a geometry-optimized Cu2NiS3 structure from the Open Quantum Materials Database. Energies are from PBE-GGA.

It has space group P2_1/m (No. 11), with a = 6.471 Å, b = 3.472 Å, c = 9.516 Å, α = 90.00°, β = 100.49° and γ = 90.00°. The inequivalent atoms are Cu at (0.103, 0.250, 0.082), Cu at (0.280, 0.750, 0.284), Ni at (0.442, 0.750, 0.590), S at (0.067, 0.250, 0.831), S at (0.253, 0.250, 0.485) and S at (0.455, 0.250, 0.178).

As for the total energy: -4.302 eV/atom.

# 21
Here is a geometry-optimized CuNiS2 structure from the Open Quantum Materials Database. Energies are from PBE-GGA.

It has space group I-42d (No. 122), with a = 5.145 Å, b = 5.145 Å, c = 10.154 Å, α = 90.00°, β = 90.00° and γ = 90.00°. The inequivalent atoms are Cu at (0.000, 0.000, 0.000), Ni at (0.000, 0.000, 0.500) and S at (0.234, 0.750, 0.625).

As for the total energy: -4.649 eV/atom.

# 22
Here is a geometry-optimized CuNi2S3 structure from the Open Quantum Materials Database. Energies are from PBE-GGA.

It has space group P2_1/m (No. 11), with a = 6.420 Å, b = 3.394 Å, c = 9.310 Å, α = 90.00°, β = 99.31° and γ = 90.00°. The inequivalent atoms are Cu at (0.105, 0.250, 0.081), Ni at (0.285, 0.750, 0.295), Ni at (0.432, 0.750, 0.588), S at (0.058, 0.250, 0.820), S at (0.241, 0.250, 0.468) and S at (0.449, 0.250, 0.181).

As for the total energy: -4.697 eV/atom.

# 23
Here is a geometry-optimized CuNiSbS3 structure from the Open Quantum Materials Database. Energies are from PBE-GGA.

It has space group P2_12_12_1 (No. 19), with a = 4.891 Å, b = 7.492 Å, c = 12.356 Å, α = 90.00°, β = 90.00° and γ = 90.00°. The inequivalent atoms are Cu at (0.019, 0.115, 0.439), Ni at (0.008, 0.636, 0.748), Sb at (0.058, 0.122, 0.135), S at (0.219, 0.133, 0.910), S at (0.219, 0.383, 0.704) and S at (0.226, 0.635, 0.906).

As for the total energy: -4.603 eV/atom.

# 24
Here is a geometry-optimized TlCuNiSeS2 structure from the Open Quantum Materials Database. Energies are from PBE-GGA.

It has space group Cmcm (No. 63), with a = 3.435 Å, b = 13.718 Å, c = 10.059 Å, α = 90.00°, β = 90.00° and γ = 90.00°. The inequivalent atoms are Tl at (0.000, 0.228, 0.250), Cu at (0.000, 0.099, 0.750), Ni at (0.000, 0.500, 0.000), Se at (0.000, 0.464, 0.750) and S at (0.000, 0.108, 0.526).

As for the total energy: -4.090 eV/atom.